Record 1
The following is a PBE-GGA calculation of an optimized crystal structure of Cd2Ga2Mo, from the Alexandria database.

Lattice parameters (Å, degrees): 6.8806 6.8806 3.9881 90.00 90.00 90.00
Last column: nearest neighbours and their distance in Å.
Element x y z (fractional)
Mo 0.5000 0.5000 0.0000  4 Ga 2.66
Ga 0.3596 0.8596 0.0000  2 Mo 2.66, 6 Cd 2.71-2.93, 1 Ga 2.73
Cd 0.3294 0.1706 0.5000  6 Ga 2.71-2.93
Ga 0.6404 0.1404 0.0000  2 Mo 2.66, 6 Cd 2.71-2.93, 1 Ga 2.73
Cd 0.1706 0.6706 0.5000  6 Ga 2.71-2.93
Mo 0.0000 0.0000 0.0000  4 Ga 2.66
Ga 0.8596 0.6404 0.0000  2 Mo 2.66, 6 Cd 2.71-2.93, 1 Ga 2.73
Cd 0.6706 0.8294 0.5000  6 Ga 2.71-2.93
Ga 0.1404 0.3596 0.0000  2 Mo 2.66, 6 Cd 2.71-2.93, 1 Ga 2.73
Cd 0.8294 0.3294 0.5000  6 Ga 2.71-2.93

Computed properties:
excess energy over the best structure of this formula in the dataset = 0.00 eV per formula unit
symmetry = P4/mbm
calculated density = 8095 kg/m3
size of the total moment = 0.00 μB per formula unit
energy of formation = 33.8 kJ/mol of atoms
Fermi-level density of states = 3.2 states/eV/f.u.
volume = 18.88 Å³ per atom

***

Record 2
The following is a PBE-GGA calculation of an optimized crystal structure of CdGa2NiMo, from the Alexandria database.

Lattice parameters (Å, degrees): 4.4737 4.8533 4.4737 90.00 90.00 90.00
Last column: nearest neighbours and their distance in Å.
Element x y z (fractional)
Ni 0.0000 0.0000 0.0000  4 Ga 2.24, 2 Cd 2.43
Mo 0.5000 0.5000 0.5000  4 Cd 3.16, 8 Ga 3.30
Cd 0.0000 0.5000 0.0000  2 Ni 2.43
Ga 0.0000 0.0000 0.5000  2 Ni 2.24
Ga 0.5000 0.0000 0.0000  2 Ni 2.24

Computed properties:
symmetry = P4/mmm
calculated density = 6949 kg/m3
size of the total moment = 3.43 μB per formula unit
energy of formation = 61.3 kJ/mol of atoms
Fermi-level density of states = 2.4 states/eV/f.u.
volume = 19.43 Å³ per atom